[1]
Entry from Alexandria via LeMat-Bulk: CsSc3In after structural relaxation (GGA-PBEsol).

Cell: 5.168 5.168 5.168 Å, 90.00 90.00 90.00°
Space group Pm-3m (No. 221)
Unique sites:
Cs: 0.000 0.000 0.000
Sc: 0.000 0.000 0.500
In: 0.500 0.500 0.500

Calculated values
Formation enthalpy at 0 K: 1.1997 eV per atom
Crystal system: cubic
Density: 4.604 g/cm3


[2]
Entry from Alexandria via LeMat-Bulk: Cs3InSi after structural relaxation (GGA-PBEsol).

Cell: 7.014 7.014 7.014 Å, 90.00 90.00 90.00°
Space group Pm-3m (No. 221)
Unique sites:
Cs: 0.000 0.000 0.500
In: 0.000 0.000 0.000
Si: 0.500 0.500 0.500

Calculated values
Formation energy without anion corrections: 0.7075 eV/atom
Crystal system: cubic
Density: 2.606 g/cm3


[3]
Entry from Alexandria via LeMat-Bulk: CsInSn after structural relaxation (GGA-PBEsol).

Cell: 4.900 4.900 9.063 Å, 90.00 90.00 90.00°
Space group P4/nmm (No. 129, origin choice 2)
Unique sites:
Cs: 0.250 0.250 0.154
In: 0.250 0.750 0.500
Sn: 0.250 0.250 0.694

Calculated values
Formation enthalpy at 0 K: -0.2634 eV per atom
Crystal system: tetragonal
Density: 5.592 g/cm3


[4]
Entry from Alexandria via LeMat-Bulk: CsSr3In after structural relaxation (GGA-PBEsol).

Cell: 6.003 6.003 6.003 Å, 90.00 90.00 90.00°
Space group Pm-3m (No. 221)
Unique sites:
Cs: 0.000 0.000 0.000
Sr: 0.000 0.000 0.500
In: 0.500 0.500 0.500

Calculated values
Formation enthalpy at 0 K: 0.8213 eV per atom
Crystal system: cubic
Density: 3.920 g/cm3


[5]
Entry from Alexandria via LeMat-Bulk: CsTaIn3 after structural relaxation (GGA-PBEsol).

Cell: 5.486 5.486 5.486 Å, 90.00 90.00 90.00°
Space group Pm-3m (No. 221)
Unique sites:
Cs: 0.000 0.000 0.000
Ta: 0.500 0.500 0.500
In: 0.000 0.500 0.500

Calculated values
Formation enthalpy at 0 K: 0.3576 eV per atom
Crystal system: cubic
Density: 6.622 g/cm3


[6]
Entry from Alexandria via LeMat-Bulk: CsTa3In after structural relaxation (GGA-PBEsol).

Cell: 4.980 4.980 4.980 Å, 90.00 90.00 90.00°
Space group Pm-3m (No. 221)
Unique sites:
Cs: 0.000 0.000 0.000
Ta: 0.000 0.000 0.500
In: 0.500 0.500 0.500

Calculated values
Formation enthalpy at 0 K: 2.9246 eV per atom
Crystal system: cubic
Density: 10.627 g/cm3


[7]
Entry from Alexandria via LeMat-Bulk: CsInTe3 after structural relaxation (GGA-PBEsol).

Cell: 6.161 6.161 6.161 Å, 90.00 90.00 90.00°
Space group Pm-3m (No. 221)
Unique sites:
Cs: 0.000 0.000 0.000
In: 0.500 0.500 0.500
Te: 0.000 0.000 0.500

Calculated values
Formation energy without anion corrections: 0.8182 eV/atom
Crystal system: cubic
Density: 4.478 g/cm3


[8]
Entry from Alexandria via LeMat-Bulk: Cs3TiIn after structural relaxation (GGA-PBEsol).

Cell: 6.652 6.652 6.652 Å, 90.00 90.00 90.00°
Space group Pm-3m (No. 221)
Unique sites:
Cs: 0.000 0.000 0.500
Ti: 0.000 0.000 0.000
In: 0.500 0.500 0.500

Calculated values
Formation enthalpy at 0 K: 1.0286 eV per atom
Crystal system: cubic
Density: 3.168 g/cm3


[9]
Entry from Alexandria via LeMat-Bulk: CsTl2In2 after structural relaxation (GGA-PBEsol).

Cell: 9.495 9.495 3.462 Å, 90.00 90.00 90.00°
Space group P4/mbm (No. 127)
Unique sites:
Cs: 0.000 0.000 0.000
Tl: 0.142 0.358 0.000
In: 0.145 0.645 0.500

Calculated values
Formation enthalpy at 0 K: -0.0384 eV per atom
Crystal system: tetragonal
Density: 8.206 g/cm3


[10]
Entry from Alexandria via LeMat-Bulk: CsTl2In2 after structural relaxation (GGA-PBEsol).

Cell: 5.069 5.069 12.746 Å, 90.00 90.00 90.00°
Space group I4/mmm (No. 139)
Unique sites:
Cs: 0.000 0.000 0.000
Tl: 0.000 0.000 0.381
In: 0.000 0.500 0.250

Calculated values
Formation enthalpy at 0 K: -0.0930 eV per atom
Crystal system: tetragonal
Density: 7.821 g/cm3


[11]
Entry from Alexandria via LeMat-Bulk: CsY3In after structural relaxation (GGA-PBEsol).

Cell: 5.498 5.498 5.498 Å, 90.00 90.00 90.00°
Space group Pm-3m (No. 221)
Unique sites:
Cs: 0.000 0.000 0.000
Y: 0.000 0.000 0.500
In: 0.500 0.500 0.500

Calculated values
Formation enthalpy at 0 K: 1.0894 eV per atom
Crystal system: cubic
Density: 5.139 g/cm3


[12]
Entry from Alexandria via LeMat-Bulk: CsZr2In2 after structural relaxation (GGA-PBEsol).

Cell: 4.533 4.533 13.623 Å, 90.00 90.00 90.00°
Space group I4/mmm (No. 139)
Unique sites:
Cs: 0.000 0.000 0.000
Zr: 0.000 0.000 0.392
In: 0.000 0.500 0.250

Calculated values
Formation enthalpy at 0 K: 0.5572 eV per atom
Crystal system: tetragonal
Density: 6.466 g/cm3


[13]
Entry from Alexandria via LeMat-Bulk: CsIr after structural relaxation (GGA-PBEsol).

Cell: 3.061 3.061 5.539 Å, 90.00 90.00 90.00°
Space group P4/mmm (No. 123)
Unique sites:
Cs: 0.000 0.000 0.000
Ir: 0.500 0.500 0.500

Calculated values
Formation enthalpy at 0 K: 1.6240 eV per atom
Crystal system: tetragonal
Density: 10.402 g/cm3


[14]
Entry from Alexandria via LeMat-Bulk: CsKIr3 after structural relaxation (GGA-PBEsol).

Cell: 5.032 5.032 5.032 Å, 90.00 90.00 90.00°
Space group Pm-3m (No. 221)
Unique sites:
Cs: 0.000 0.000 0.000
K: 0.500 0.500 0.500
Ir: 0.000 0.000 0.500

Calculated values
Formation enthalpy at 0 K: 2.7860 eV per atom
Crystal system: cubic
Density: 9.758 g/cm3


[15]
Entry from Alexandria via LeMat-Bulk: CsK2IrPb after structural relaxation (GGA-PBEsol).

Cell: 6.496 6.496 5.110 Å, 90.00 90.00 90.00°
Space group P4/mmm (No. 123)
Unique sites:
Cs: 0.000 0.000 0.000
K: 0.000 0.500 0.500
Ir: 0.500 0.500 0.000
Pb: 0.500 0.500 0.500

Calculated values
Formation enthalpy at 0 K: 0.4938 eV per atom
Crystal system: tetragonal
Density: 4.701 g/cm3


[16]
Entry from Alexandria via LeMat-Bulk: Cs2LiIr after structural relaxation (GGA-PBEsol).

Cell: 12.707 12.707 12.707 Å, 90.00 90.00 90.00°
Space group Fd-3m (No. 227, origin choice 2)
Unique sites:
Cs: 0.000 0.000 0.000
Li: 0.125 0.125 0.625
Ir: 0.125 0.125 0.125

Calculated values
Formation enthalpy at 0 K: 1.1513 eV per atom
Crystal system: cubic
Density: 3.010 g/cm3


[17]
Entry from Alexandria via LeMat-Bulk: CsLi3Ir after structural relaxation (GGA-PBEsol).

Cell: 4.944 4.944 4.944 Å, 90.00 90.00 90.00°
Space group Pm-3m (No. 221)
Unique sites:
Cs: 0.000 0.000 0.000
Li: 0.000 0.500 0.500
Ir: 0.500 0.500 0.500

Calculated values
Formation enthalpy at 0 K: 0.3494 eV per atom
Crystal system: cubic
Density: 4.755 g/cm3


[18]
Entry from Alexandria via LeMat-Bulk: CsSrLi2Ir after structural relaxation (GGA-PBEsol).

Cell: 4.667 4.667 5.990 Å, 90.00 90.00 90.00°
Space group P4/mmm (No. 123)
Unique sites:
Cs: 0.000 0.000 0.000
Sr: 0.000 0.000 0.500
Li: 0.000 0.500 0.000
Ir: 0.500 0.500 0.500

Calculated values
Formation enthalpy at 0 K: 1.4013 eV per atom
Crystal system: tetragonal
Density: 5.430 g/cm3


[19]
Entry from Alexandria via LeMat-Bulk: CsLiTc2Ir after structural relaxation (GGA-PBEsol).

Cell: 4.784 4.784 4.306 Å, 90.00 90.00 90.00°
Space group P4/mmm (No. 123)
Unique sites:
Cs: 0.000 0.000 0.000
Li: 0.000 0.000 0.500
Tc: 0.000 0.500 0.000
Ir: 0.500 0.500 0.500

Calculated values
Formation enthalpy at 0 K: 2.8266 eV per atom
Crystal system: tetragonal
Density: 8.899 g/cm3


[20]
Entry from Alexandria via LeMat-Bulk: Cs3MnIr after structural relaxation (GGA-PBEsol).

Cell: 6.083 6.083 6.083 Å, 90.00 90.00 90.00°
Space group Pm-3m (No. 221)
Unique sites:
Cs: 0.000 0.000 0.500
Mn: 0.500 0.500 0.500
Ir: 0.000 0.000 0.000

Calculated values
Formation enthalpy at 0 K: 1.2531 eV per atom
Crystal system: cubic
Density: 4.764 g/cm3


[21]
Entry from Alexandria via LeMat-Bulk: CsMo3Ir after structural relaxation (GGA-PBEsol).

Cell: 4.734 4.734 4.734 Å, 90.00 90.00 90.00°
Space group Pm-3m (No. 221)
Unique sites:
Cs: 0.000 0.000 0.000
Mo: 0.000 0.000 0.500
Ir: 0.500 0.500 0.500

Calculated values
Formation enthalpy at 0 K: 3.4927 eV per atom
Crystal system: cubic
Density: 9.596 g/cm3


[22]
Entry from Alexandria via LeMat-Bulk: CsIrN2 after structural relaxation (GGA-PBEsol).

Cell: 6.219 6.219 7.771 Å, 90.00 90.00 90.00°
Space group I-42d (No. 122)
Unique sites:
Cs: 0.000 0.000 0.000
Ir: 0.000 0.000 0.500
N: 0.076 0.750 0.625

Calculated values
Formation energy without anion corrections: 0.2813 eV/atom
Crystal system: tetragonal
Density: 7.804 g/cm3


[23]
Entry from Alexandria via LeMat-Bulk: Cs3IrN after structural relaxation (GGA-PBEsol).

Cell: 5.853 5.853 5.853 Å, 90.00 90.00 90.00°
Space group Pm-3m (No. 221)
Unique sites:
Cs: 0.000 0.000 0.500
Ir: 0.000 0.000 0.000
N: 0.500 0.500 0.500

Calculated values
Formation energy without anion corrections: 1.3475 eV/atom
Crystal system: cubic
Density: 5.011 g/cm3


[24]
Entry from Alexandria via LeMat-Bulk: CsIrN2 after structural relaxation (GGA-PBEsol).

Cell: 6.042 6.042 6.042 Å, 90.00 90.00 90.00°
Space group Fm-3m (No. 225)
Unique sites:
Cs: 0.000 0.000 0.000
Ir: 0.000 0.000 0.500
N: 0.250 0.250 0.250

Calculated values
Formation energy without anion corrections: 2.3633 eV/atom
Crystal system: cubic
Density: 10.635 g/cm3


[25]
Entry from Alexandria via LeMat-Bulk: Cs2Na2IrO4 after structural relaxation (GGA-PBEsol).

Cell: 11.913 5.892 9.572 Å, 90.00 104.15 90.00°
Space group C2/m (No. 12)
Unique sites:
Cs: 0.164 0.000 0.362
Cs: 0.171 0.000 0.741
Na: 0.026 0.500 0.157
Na: 0.216 0.500 0.926
Ir: 0.000 0.000 0.000
Ir: 0.000 0.500 0.500
O: 0.106 0.500 0.688
O: 0.118 0.230 0.031
O: 0.126 0.500 0.407

Calculated values
Formation energy without anion corrections: -1.2090 eV/atom
Crystal system: monoclinic
Density: 5.791 g/cm3


[26]
Entry from Alexandria via LeMat-Bulk: CsNbIr2 after structural relaxation (GGA-PBEsol).

Cell: 6.739 6.739 6.739 Å, 90.00 90.00 90.00°
Space group Fm-3m (No. 225)
Unique sites:
Cs: 0.000 0.000 0.000
Nb: 0.000 0.000 0.500
Ir: 0.250 0.250 0.250

Calculated values
Formation enthalpy at 0 K: 1.2958 eV per atom
Crystal system: cubic
Density: 13.243 g/cm3


[27]
Entry from Alexandria via LeMat-Bulk: Cs4IrO4 after structural relaxation (GGA-PBEsol).

Cell: 10.321 6.657 6.653 Å, 90.00 108.84 90.00°
Space group C2/m (No. 12)
Unique sites:
Cs: 0.116 0.000 0.346
Cs: 0.190 0.500 0.088
Ir: 0.000 0.500 0.500
O: 0.109 0.296 0.682

Calculated values
Formation energy without anion corrections: -1.1783 eV/atom
Crystal system: monoclinic
Density: 6.048 g/cm3


[28]
Entry from Alexandria via LeMat-Bulk: Cs3IrO after structural relaxation (GGA-PBEsol).

Cell: 5.758 5.758 5.758 Å, 90.00 90.00 90.00°
Space group Pm-3m (No. 221)
Unique sites:
Cs: 0.000 0.000 0.500
Ir: 0.000 0.000 0.000
O: 0.500 0.500 0.500

Calculated values
Formation energy without anion corrections: 0.5944 eV/atom
Crystal system: cubic
Density: 5.281 g/cm3


no.,DOS(E_F) (states/eV/f.u.)
1,6.1
2,4.4
3,0.8
4,3.8
5,6.8
6,3.6
7,4.3
8,6.4
9,2.3
10,2.2
11,5.3
12,4.8
13,2.4
14,9.4
15,2.1
16,3.3
17,2.0
18,2.9
19,7.7
20,7.7
21,8.3
22,2.1
23,6.4
24,2.8
25,1.6
26,4.5
27,1.3
28,10.3